{
  "formula": "BeTlP2S",
  "functional": "SCAN",
  "state": "PBEsol geometry",
  "cell": [[5.034, 0.000, 0.000], [0.000, 5.034, 0.000], [0.000, 0.000, 5.012]],
  "species": ["Be", "Tl", "P", "P", "S"],
  "frac_coords": [[0.000, 0.000, 0.000], [0.500, 0.500, 0.500], [0.000, 0.500, 0.500], [0.500, 0.000, 0.500], [0.500, 0.500, 0.000]],
  "volume_a3_per_cell": 127.0,
  "raw_formation_energy_mev_per_atom": 1767,
  "total_magnetization_mub_per_fu": 2.10,
  "e_tot_ev_per_atom": -19.66,
  "density_g_cm3": 4.02
}